The following is a DFT calculation (PBE-GGA) of a geometry-optimized SiPPb4 structure.

Calculated values
Crystal system: cubic
Space-group type: F-43m (216)
Fermi-level density of states, states/eV per cell: 4.8
Formation energy without anion corrections, meV/atom: 807
Magnetization, μB per formula unit: 0.00

Cell: 6.3245 6.3245 6.3245 Å, 60.00 60.00 60.00°
Closest atoms and distances in Å follow each position.
Element x y z (fractional)
Si  0.7500  0.7500  0.7500  12 Pb 3.71, 4 P 3.87
P  0.0000  0.0000  0.0000  12 Pb 3.71, 4 Si 3.87
Pb  0.8748  0.3751  0.3751  6 Pb 3.16
Pb  0.3751  0.3751  0.8748  6 Pb 3.16
Pb  0.3751  0.8748  0.3751  6 Pb 3.16
Pb  0.3751  0.3751  0.3751  6 Pb 3.16